No. 1
DFT (PBE-GGA) results for a relaxed structure of La12Er7Tm.

Output
V ... 35.14 A^3/atom
D(E_F) ... 28.16 states/eV/f.u.
Uncorrected energy ... -4.588 eV per atom
ΔE to the lowest computed polymorph ... 0 meV per atom

a = 11.5061 Å, b = 11.5061 Å, c = 11.5061 Å
α = 116.70°, β = 116.70°, γ = 116.70°
With the nearest neighbours (Å) after each atom.
Positions (direct):
La: 0.0000 0.4085 0.5915  3 La 3.31-3.59, 2 Er 3.39
La: 0.0000 0.5915 0.4085  3 La 3.31-3.59, 2 Er 3.39
La: 0.0739 0.0739 0.4276  1 La 3.32, 4 Er 3.37-3.62
La: 0.0739 0.4276 0.0739  1 La 3.32, 4 Er 3.37-3.62
La: 0.4085 0.0000 0.5915  3 La 3.31-3.59, 2 Er 3.39
La: 0.4085 0.5915 0.0000  3 La 3.31-3.59, 2 Er 3.39
La: 0.4276 0.0739 0.0739  1 La 3.32, 4 Er 3.37-3.62
La: 0.5724 0.9261 0.9261  1 La 3.32, 4 Er 3.37-3.62
La: 0.5915 0.0000 0.4085  3 La 3.31-3.59, 2 Er 3.39
La: 0.5915 0.4085 0.0000  3 La 3.31-3.59, 2 Er 3.39
La: 0.9261 0.5724 0.9261  1 La 3.32, 4 Er 3.37-3.62
La: 0.9261 0.9261 0.5724  1 La 3.32, 4 Er 3.37-3.62
Er: 0.0000 0.0000 0.0000  2 Tm 3.17, 6 Er 3.38
Er: 0.1398 0.3855 0.3855  1 Tm 3.05, 3 La 3.37-3.39, 1 Er 3.38
Er: 0.3855 0.1398 0.3855  1 Tm 3.05, 3 La 3.37-3.39, 1 Er 3.38
Er: 0.3855 0.3855 0.1398  1 Tm 3.05, 3 La 3.37-3.39, 1 Er 3.38
Er: 0.6145 0.6145 0.8602  1 Tm 3.05, 3 La 3.37-3.39, 1 Er 3.38
Er: 0.6145 0.8602 0.6145  1 Tm 3.05, 3 La 3.37-3.39, 1 Er 3.38
Er: 0.8602 0.6145 0.6145  1 Tm 3.05, 3 La 3.37-3.39, 1 Er 3.38
Tm: 0.5000 0.5000 0.5000  8 Er 3.05-3.17



No. 2
DFT (PBE-GGA) results for a relaxed structure of La12Er6Tm.

Output
V ... 35.54 A^3/atom
D(E_F) ... 35.02 states/eV/f.u.
Uncorrected energy ... -4.559 eV per atom

a = 9.3041 Å, b = 9.3041 Å, c = 9.3041 Å
α = 106.75°, β = 106.75°, γ = 106.75°
With the nearest neighbours (Å) after each atom.
Positions (direct):
La: 0.1128 0.2871 0.8163  2 La 3.34-3.56, 3 Er 3.41-3.62, 1 Tm 3.63
La: 0.1837 0.8872 0.7129  2 La 3.34-3.56, 3 Er 3.41-3.62, 1 Tm 3.63
La: 0.1925 0.4914 0.5871  5 La 3.34-3.56, 3 Er 3.35-3.58
La: 0.2871 0.8163 0.1128  2 La 3.34-3.56, 3 Er 3.41-3.62, 1 Tm 3.63
La: 0.4129 0.8075 0.5086  5 La 3.34-3.56, 3 Er 3.35-3.58
La: 0.4914 0.5871 0.1925  5 La 3.34-3.56, 3 Er 3.35-3.58
La: 0.5086 0.4129 0.8075  5 La 3.34-3.56, 3 Er 3.35-3.58
La: 0.5871 0.1925 0.4914  5 La 3.34-3.56, 3 Er 3.35-3.58
La: 0.7129 0.1837 0.8872  2 La 3.34-3.56, 3 Er 3.41-3.62, 1 Tm 3.63
La: 0.8075 0.5086 0.4129  5 La 3.34-3.56, 3 Er 3.35-3.58
La: 0.8163 0.1128 0.2871  2 La 3.34-3.56, 3 Er 3.41-3.62, 1 Tm 3.63
La: 0.8872 0.7129 0.1837  2 La 3.34-3.56, 3 Er 3.41-3.62, 1 Tm 3.63
Er: 0.0913 0.4358 0.1932  6 La 3.35-3.62, 1 Tm 3.65
Er: 0.1932 0.0913 0.4358  6 La 3.35-3.62, 1 Tm 3.65
Er: 0.4358 0.1932 0.0913  6 La 3.35-3.62, 1 Tm 3.65
Er: 0.5642 0.8068 0.9087  6 La 3.35-3.62, 1 Tm 3.65
Er: 0.8068 0.9087 0.5642  6 La 3.35-3.62, 1 Tm 3.65
Er: 0.9087 0.5642 0.8068  6 La 3.35-3.62, 1 Tm 3.65
Tm: 0.0000 0.0000 0.0000  6 La 3.63, 6 Er 3.65



No. 3
DFT (PBE-GGA) results for a relaxed structure of LaEr5Tm4.

Output
V ... 32.08 A^3/atom
D(E_F) ... 13.88 states/eV/f.u.
Uncorrected energy ... -4.248 eV per atom
ΔE to the lowest computed polymorph ... 286 meV per atom

a = 7.8076 Å, b = 7.8076 Å, c = 7.8076 Å
α = 99.30°, β = 99.30°, γ = 132.59°
With the nearest neighbours (Å) after each atom.
Positions (direct):
La: 0.0000 0.0000 0.0000  1 Er 2.86
Er: 0.0412 0.1342 0.6213  4 Tm 3.20-3.51, 1 Er 3.25, 1 La 3.29
Er: 0.1342 0.5128 0.0929  4 Tm 3.20-3.51, 1 Er 3.25, 1 La 3.29
Er: 0.4199 0.0412 0.9071  4 Tm 3.20-3.51, 1 Er 3.25, 1 La 3.29
Er: 0.5128 0.4199 0.3787  4 Tm 3.20-3.51, 1 Er 3.25, 1 La 3.29
Er: 0.5438 0.5438 0.0000  1 La 2.86
Tm: 0.1219 0.8236 0.4040  1 Tm 3.19, 4 Er 3.20-3.51
Tm: 0.4196 0.7178 0.5960  1 Tm 3.19, 4 Er 3.20-3.51
Tm: 0.7178 0.1219 0.2983  1 Tm 3.19, 4 Er 3.20-3.51
Tm: 0.8236 0.4196 0.7017  1 Tm 3.19, 4 Er 3.20-3.51



No. 4
DFT (PBE-GGA) results for a relaxed structure of La8Er3Tm.

Output
V ... 38.27 A^3/atom
D(E_F) ... 21.15 states/eV/f.u.
Uncorrected energy ... -4.265 eV per atom

a = 8.5789 Å, b = 8.5789 Å, c = 8.5789 Å
α = 117.97°, β = 117.97°, γ = 93.56°
With the nearest neighbours (Å) after each atom.
Positions (direct):
La: 0.1269 0.1269 0.7532  3 La 3.09-3.35, 1 Tm 3.32, 1 Er 3.32
La: 0.2489 0.7483 0.0000  1 Tm 3.12, 1 Er 3.13, 2 La 3.33-3.35
La: 0.2517 0.2517 0.5006  1 Tm 3.12, 1 Er 3.13, 2 La 3.33-3.35
La: 0.3737 0.3737 0.2468  3 La 3.09-3.35, 1 Tm 3.32, 1 Er 3.32
La: 0.6263 0.8731 0.0000  3 La 3.09-3.35, 1 Tm 3.32, 1 Er 3.32
La: 0.7483 0.2489 0.0000  1 Tm 3.12, 1 Er 3.13, 2 La 3.33-3.35
La: 0.7511 0.7511 0.4994  1 Tm 3.12, 1 Er 3.13, 2 La 3.33-3.35
La: 0.8731 0.6263 0.0000  3 La 3.09-3.35, 1 Tm 3.32, 1 Er 3.32
Er: 0.0000 0.0000 0.0000  8 La 3.13-3.32
Er: 0.2500 0.7500 0.5000  4 La 3.50
Er: 0.7500 0.2500 0.5000  4 La 3.50
Tm: 0.5000 0.5000 0.0000  8 La 3.12-3.32



No. 5
DFT (PBE-GGA) results for a relaxed structure of La7Er2Tm3.

Output
V ... 33.99 A^3/atom
D(E_F) ... 16.23 states/eV/f.u.
Uncorrected energy ... -4.683 eV per atom

a = 6.5009 Å, b = 3.5633 Å, c = 17.6932 Å
α = 90.00°, β = 95.58°, γ = 90.00°
With the nearest neighbours (Å) after each atom.
Positions (direct):
La: 0.0000 0.0000 0.0000  8 La 3.56-3.73, 4 Tm 3.71
La: 0.2274 0.5000 0.1737  1 Er 3.48, 8 La 3.56-3.73, 3 Tm 3.61-3.69
La: 0.2625 0.5000 0.4907  1 La 3.07, 1 Er 3.36
La: 0.2776 0.0000 0.8324  2 Er 3.56, 7 La 3.56-3.73, 3 Tm 3.62-3.64
La: 0.7224 0.0000 0.1676  2 Er 3.56, 7 La 3.56-3.73, 3 Tm 3.62-3.64
La: 0.7375 0.5000 0.5093  1 La 3.07, 1 Er 3.36
La: 0.7726 0.5000 0.8263  1 Er 3.48, 8 La 3.56-3.73, 3 Tm 3.61-3.69
Er: 0.0586 0.5000 0.6699  5 La 3.36-3.56, 2 Er 3.56, 2 Tm 3.62
Er: 0.9414 0.5000 0.3301  5 La 3.36-3.56, 2 Er 3.56, 2 Tm 3.62
Tm: 0.4589 0.0000 0.3383  2 Tm 3.56, 7 La 3.57-3.81, 4 Er 3.62-3.80
Tm: 0.5000 0.5000 0.0000  2 Tm 3.56, 10 La 3.64-3.71
Tm: 0.5411 0.0000 0.6617  2 Tm 3.56, 7 La 3.57-3.81, 4 Er 3.62-3.80



No. 6
DFT (PBE-GGA) results for a relaxed structure of La2Er2Tm7.

Output
V ... 31.98 A^3/atom
D(E_F) ... 14.90 states/eV/f.u.
Uncorrected energy ... -4.432 eV per atom
ΔE to the lowest computed polymorph ... 0 meV per atom

a = 10.4931 Å, b = 10.4931 Å, c = 10.4931 Å
α = 160.44°, β = 113.75°, γ = 69.82°
With the nearest neighbours (Å) after each atom.
Positions (direct):
La: 0.2192 0.0000 0.2192  8 Tm 3.34-3.68, 2 La 3.57
La: 0.7808 0.0000 0.7808  8 Tm 3.34-3.68, 2 La 3.57
Er: 0.3033 0.8033 0.5000  8 Tm 3.41-3.67, 2 Er 3.57
Er: 0.6967 0.1967 0.5000  8 Tm 3.41-3.67, 2 Er 3.57
Tm: 0.0801 0.3305 0.7496  6 Tm 3.30-3.57, 3 Er 3.41-3.67, 2 La 3.44
Tm: 0.1282 0.1282 0.0000  2 La 3.34, 6 Tm 3.45-3.57, 2 Er 3.50
Tm: 0.4190 0.6695 0.7496  6 Tm 3.30-3.57, 3 Er 3.41-3.67, 2 La 3.44
Tm: 0.5000 0.5000 0.0000  2 Tm 3.57, 4 La 3.68, 4 Er 3.83
Tm: 0.5810 0.3305 0.2504  6 Tm 3.30-3.57, 3 Er 3.41-3.67, 2 La 3.44
Tm: 0.8718 0.8718 0.0000  2 La 3.34, 6 Tm 3.45-3.57, 2 Er 3.50
Tm: 0.9199 0.6695 0.2504  6 Tm 3.30-3.57, 3 Er 3.41-3.67, 2 La 3.44